#P
VASP calculation (PBE) on a relaxed PuNb4S8 crystal.

Unit cell a=7.3253 b=7.3253 c=7.3253 alpha=60.00 beta=60.00 gamma=60.00
Fractional coordinates of all 13 atoms:
Pu 0.0000 0.0000 0.0000
Nb 0.1857 0.6048 0.6048
Nb 0.6048 0.1857 0.6048
Nb 0.6048 0.6048 0.1857
Nb 0.6048 0.6048 0.6048
S 0.3707 0.3707 0.3707
S 0.3707 0.3707 0.8879
S 0.3707 0.8879 0.3707
S 0.4347 0.8551 0.8551
S 0.8551 0.4347 0.8551
S 0.8551 0.8551 0.4347
S 0.8551 0.8551 0.8551
S 0.8879 0.3707 0.3707

Values from the calculation:
Its magnetic moment is 0.4307 μB per atom.

#Q
VASP calculation (PBE) on a relaxed PuNb4S8 crystal.

Unit cell a=6.8682 b=6.8682 c=8.6924 alpha=122.99 beta=122.99 gamma=60.71
Fractional coordinates of all 13 atoms:
Pu 0.0000 0.0000 0.0000
Nb 0.2775 0.2775 0.5117
Nb 0.2951 0.7049 0.5000
Nb 0.7049 0.2951 0.5000
Nb 0.7225 0.7225 0.4883
S 0.0024 0.0024 0.6869
S 0.0238 0.5233 0.7299
S 0.4572 0.4572 0.2352
S 0.4767 0.9762 0.2701
S 0.5233 0.0238 0.7299
S 0.5428 0.5428 0.7648
S 0.9762 0.4767 0.2701
S 0.9976 0.9976 0.3131

Values from the calculation:
Its magnetic moment is 0.3661 μB per atom.

Verdict on stability: #P comes out at the bottom.

#P
VASP calculation (PBE) on a relaxed PuNbSb2 crystal.

Unit cell a=3.4037 b=3.4037 c=31.6185 alpha=90.00 beta=90.00 gamma=120.00
Fractional coordinates of all 12 atoms:
Pu 0.0000 0.0000 0.0000
Pu 0.3333 0.6667 0.6667
Pu 0.6667 0.3333 0.3333
Nb 0.0000 0.0000 0.5000
Nb 0.3333 0.6667 0.1667
Nb 0.6667 0.3333 0.8333
Sb 0.0000 0.0000 0.1015
Sb 0.0000 0.0000 0.8985
Sb 0.3333 0.6667 0.5652
Sb 0.3333 0.6667 0.7681
Sb 0.6667 0.3333 0.2319
Sb 0.6667 0.3333 0.4348

Values from the calculation:
Its magnetic moment is 1.6902 μB per atom.

#Q
VASP calculation (PBE) on a relaxed PuNbSb2 crystal.

Unit cell a=3.4648 b=3.4648 c=7.6914 alpha=90.00 beta=90.00 gamma=90.00
Fractional coordinates of all 4 atoms:
Pu 0.0000 0.0000 0.0000
Nb 0.0000 0.0000 0.5000
Sb 0.5000 0.5000 0.2847
Sb 0.5000 0.5000 0.7153

Values from the calculation:
Its magnetic moment is 1.4535 μB per atom.

Verdict on stability: #P comes out at the bottom.

#P
VASP calculation (PBE) on a relaxed PuNbSb crystal.

Unit cell a=4.8175 b=4.8175 c=3.5643 alpha=90.00 beta=90.00 gamma=120.00
Fractional coordinates of all 3 atoms:
Pu 0.0000 0.0000 0.0000
Nb 0.6667 0.3333 0.5000
Sb 0.3333 0.6667 0.5000

Values from the calculation:
Its magnetic moment is 1.7159 μB per atom.

#Q
VASP calculation (PBE) on a relaxed PuNbSb crystal.

Unit cell a=9.5016 b=3.4962 c=7.8535 alpha=90.00 beta=98.71 gamma=90.00
Fractional coordinates of all 12 atoms:
Pu 0.1722 0.0000 0.4562
Pu 0.3278 0.5000 0.5438
Pu 0.6722 0.5000 0.4562
Pu 0.8278 0.0000 0.5438
Nb 0.1935 0.5000 0.1107
Nb 0.3065 0.0000 0.8893
Nb 0.6935 0.0000 0.1107
Nb 0.8065 0.5000 0.8893
Sb 0.0733 0.5000 0.7555
Sb 0.4267 0.0000 0.2445
Sb 0.5733 0.0000 0.7555
Sb 0.9267 0.5000 0.2445

Values from the calculation:
Its magnetic moment is 0.0000 μB per atom.

Verdict on stability: #P comes out at the bottom.

#P
VASP calculation (PBE) on a relaxed Pu2ScNb crystal.

Unit cell a=4.4011 b=4.4011 c=4.6428 alpha=90.00 beta=90.00 gamma=90.00
Fractional coordinates of all 4 atoms:
Pu 0.0000 0.5000 0.0000
Pu 0.5000 0.0000 0.0000
Sc 0.0000 0.0000 0.5000
Nb 0.5000 0.5000 0.5000

Values from the calculation:
Its magnetic moment is 2.5694 μB per atom.

#Q
VASP calculation (PBE) on a relaxed Pu2ScNb crystal.

Unit cell a=3.1563 b=3.1563 c=32.8096 alpha=90.00 beta=90.00 gamma=120.00
Fractional coordinates of all 12 atoms:
Pu 0.0000 0.0000 0.0901
Pu 0.0000 0.0000 0.9099
Pu 0.3333 0.6667 0.5766
Pu 0.3333 0.6667 0.7568
Pu 0.6667 0.3333 0.2432
Pu 0.6667 0.3333 0.4234
Sc 0.0000 0.0000 0.0000
Sc 0.3333 0.6667 0.6667
Sc 0.6667 0.3333 0.3333
Nb 0.0000 0.0000 0.5000
Nb 0.3333 0.6667 0.1667
Nb 0.6667 0.3333 0.8333

Values from the calculation:
Its magnetic moment is 2.6870 μB per atom.

Verdict on stability: #Q comes out at the bottom.

#P
VASP calculation (PBE) on a relaxed PuNbSi2 crystal.

Unit cell a=3.4245 b=3.4245 c=6.1748 alpha=90.00 beta=90.00 gamma=90.00
Fractional coordinates of all 4 atoms:
Pu 0.0000 0.0000 0.0000
Nb 0.0000 0.0000 0.5000
Si 0.5000 0.5000 0.3003
Si 0.5000 0.5000 0.6997

Values from the calculation:
Its magnetic moment is 1.3631 μB per atom.

#Q
VASP calculation (PBE) on a relaxed PuNbSi2 crystal.

Unit cell a=3.6707 b=3.6707 c=20.4852 alpha=90.00 beta=90.00 gamma=120.00
Fractional coordinates of all 12 atoms:
Pu 0.0000 0.0000 0.0000
Pu 0.3333 0.6667 0.6667
Pu 0.6667 0.3333 0.3333
Nb 0.0000 0.0000 0.5000
Nb 0.3333 0.6667 0.1667
Nb 0.6667 0.3333 0.8333
Si 0.0000 0.0000 0.2401
Si 0.0000 0.0000 0.7599
Si 0.3333 0.6667 0.4265
Si 0.3333 0.6667 0.9068
Si 0.6667 0.3333 0.0932
Si 0.6667 0.3333 0.5735

Values from the calculation:
Its magnetic moment is 1.2594 μB per atom.

Verdict on stability: #Q comes out at the bottom.

#P
VASP calculation (PBE) on a relaxed Pu2NbSn crystal.

Unit cell a=4.3505 b=4.3505 c=4.7429 alpha=90.00 beta=90.00 gamma=90.00
Fractional coordinates of all 4 atoms:
Pu 0.0000 0.5000 0.0000
Pu 0.5000 0.0000 0.0000
Nb 0.0000 0.0000 0.5000
Sn 0.5000 0.5000 0.5000

Values from the calculation:
Its magnetic moment is 2.4686 μB per atom.

#Q
VASP calculation (PBE) on a relaxed Pu2NbSn crystal.

Unit cell a=7.2460 b=7.2460 c=7.2460 alpha=90.00 beta=90.00 gamma=90.00
Fractional coordinates of all 16 atoms:
Pu 0.2500 0.2500 0.2500
Pu 0.2500 0.2500 0.7500
Pu 0.2500 0.7500 0.2500
Pu 0.2500 0.7500 0.7500
Pu 0.7500 0.2500 0.2500
Pu 0.7500 0.2500 0.7500
Pu 0.7500 0.7500 0.2500
Pu 0.7500 0.7500 0.7500
Nb 0.0000 0.0000 0.0000
Nb 0.0000 0.5000 0.5000
Nb 0.5000 0.0000 0.5000
Nb 0.5000 0.5000 0.0000
Sn 0.0000 0.0000 0.5000
Sn 0.0000 0.5000 0.0000
Sn 0.5000 0.0000 0.0000
Sn 0.5000 0.5000 0.5000

Values from the calculation:
Its magnetic moment is 2.3768 μB per atom.

Verdict on stability: #Q comes out at the bottom.

#P
VASP calculation (PBE) on a relaxed PuTaNb2 crystal.

Unit cell a=6.7596 b=6.7596 c=6.7596 alpha=90.00 beta=90.00 gamma=90.00
Fractional coordinates of all 16 atoms:
Pu 0.0000 0.0000 0.0000
Pu 0.0000 0.5000 0.5000
Pu 0.5000 0.0000 0.5000
Pu 0.5000 0.5000 0.0000
Ta 0.0000 0.0000 0.5000
Ta 0.0000 0.5000 0.0000
Ta 0.5000 0.0000 0.0000
Ta 0.5000 0.5000 0.5000
Nb 0.2500 0.2500 0.2500
Nb 0.2500 0.2500 0.7500
Nb 0.2500 0.7500 0.2500
Nb 0.2500 0.7500 0.7500
Nb 0.7500 0.2500 0.2500
Nb 0.7500 0.2500 0.7500
Nb 0.7500 0.7500 0.2500
Nb 0.7500 0.7500 0.7500

Values from the calculation:
Its magnetic moment is 1.0332 μB per atom.

#Q
VASP calculation (PBE) on a relaxed PuTaNb2 crystal.

Unit cell a=3.3204 b=3.3204 c=7.0158 alpha=90.00 beta=90.00 gamma=90.00
Fractional coordinates of all 4 atoms:
Pu 0.0000 0.0000 0.0000
Ta 0.0000 0.0000 0.5000
Nb 0.5000 0.5000 0.2627
Nb 0.5000 0.5000 0.7373

Values from the calculation:
Its magnetic moment is 1.1698 μB per atom.

Verdict on stability: #Q comes out at the bottom.

#P
VASP calculation (PBE) on a relaxed PuTaNb2 crystal.

Unit cell a=2.9210 b=2.9210 c=32.0559 alpha=90.00 beta=90.00 gamma=120.00
Fractional coordinates of all 12 atoms:
Pu 0.0000 0.0000 0.0000
Pu 0.3333 0.6667 0.6667
Pu 0.6667 0.3333 0.3333
Ta 0.0000 0.0000 0.5000
Ta 0.3333 0.6667 0.1667
Ta 0.6667 0.3333 0.8333
Nb 0.0000 0.0000 0.2463
Nb 0.0000 0.0000 0.7537
Nb 0.3333 0.6667 0.4203
Nb 0.3333 0.6667 0.9130
Nb 0.6667 0.3333 0.0870
Nb 0.6667 0.3333 0.5797

Values from the calculation:
Its magnetic moment is 1.1536 μB per atom.

#Q
VASP calculation (PBE) on a relaxed PuTaNb2 crystal.

Unit cell a=4.8507 b=4.8507 c=3.2805 alpha=90.00 beta=90.00 gamma=90.00
Fractional coordinates of all 4 atoms:
Pu 0.0000 0.0000 0.0000
Ta 0.5000 0.5000 0.0000
Nb 0.0000 0.5000 0.5000
Nb 0.5000 0.0000 0.5000

Values from the calculation:
Its magnetic moment is 1.0925 μB per atom.

Verdict on stability: #P comes out at the bottom.

#P
VASP calculation (PBE) on a relaxed PuTa2Nb crystal.

Unit cell a=3.2828 b=3.2828 c=7.3551 alpha=90.00 beta=90.00 gamma=90.00
Fractional coordinates of all 4 atoms:
Pu 0.0000 0.0000 0.0000
Ta 0.5000 0.5000 0.2781
Ta 0.5000 0.5000 0.7219
Nb 0.0000 0.0000 0.5000

Values from the calculation:
Its magnetic moment is 1.3239 μB per atom.

#Q
VASP calculation (PBE) on a relaxed PuTa2Nb crystal.

Unit cell a=4.8747 b=4.8747 c=3.2483 alpha=90.00 beta=90.00 gamma=90.00
Fractional coordinates of all 4 atoms:
Pu 0.0000 0.0000 0.0000
Ta 0.0000 0.5000 0.5000
Ta 0.5000 0.0000 0.5000
Nb 0.5000 0.5000 0.0000

Values from the calculation:
Its magnetic moment is 1.0817 μB per atom.

Verdict on stability: #Q comes out at the bottom.

#P
VASP calculation (PBE) on a relaxed PuTh2Nb crystal.

Unit cell a=3.8853 b=3.8853 c=6.9391 alpha=90.00 beta=90.00 gamma=90.00
Fractional coordinates of all 4 atoms:
Pu 0.0000 0.0000 0.0000
Th 0.5000 0.5000 0.2597
Th 0.5000 0.5000 0.7403
Nb 0.0000 0.0000 0.5000

Values from the calculation:
Its magnetic moment is 1.3599 μB per atom.

#Q
VASP calculation (PBE) on a relaxed PuTh2Nb crystal.

Unit cell a=3.3023 b=3.3023 c=34.6260 alpha=90.00 beta=90.00 gamma=120.00
Fractional coordinates of all 12 atoms:
Pu 0.0000 0.0000 0.0000
Pu 0.3333 0.6667 0.6667
Pu 0.6667 0.3333 0.3333
Th 0.0000 0.0000 0.0898
Th 0.0000 0.0000 0.9102
Th 0.3333 0.6667 0.5768
Th 0.3333 0.6667 0.7565
Th 0.6667 0.3333 0.2435
Th 0.6667 0.3333 0.4232
Nb 0.0000 0.0000 0.5000
Nb 0.3333 0.6667 0.1667
Nb 0.6667 0.3333 0.8333

Values from the calculation:
Its magnetic moment is 1.3403 μB per atom.

Verdict on stability: #Q comes out at the bottom.

#P
VASP calculation (PBE) on a relaxed Pu2ThNb crystal.

Unit cell a=3.7517 b=3.7517 c=6.9907 alpha=90.00 beta=90.00 gamma=90.00
Fractional coordinates of all 4 atoms:
Pu 0.0000 0.0000 0.2152
Pu 0.0000 0.0000 0.7848
Th 0.5000 0.5000 0.5000
Nb 0.5000 0.5000 0.0000

Values from the calculation:
Its magnetic moment is 2.7452 μB per atom.

#Q
VASP calculation (PBE) on a relaxed Pu2ThNb crystal.

Unit cell a=4.5867 b=4.5867 c=15.7920 alpha=90.00 beta=90.00 gamma=120.00
Fractional coordinates of all 12 atoms:
Pu 0.0000 0.0000 0.1768
Pu 0.0000 0.0000 0.8232
Pu 0.3333 0.6667 0.4898
Pu 0.3333 0.6667 0.8435
Pu 0.6667 0.3333 0.1565
Pu 0.6667 0.3333 0.5102
Th 0.0000 0.0000 0.0000
Th 0.3333 0.6667 0.6667
Th 0.6667 0.3333 0.3333
Nb 0.0000 0.0000 0.5000
Nb 0.3333 0.6667 0.1667
Nb 0.6667 0.3333 0.8333

Values from the calculation:
Its magnetic moment is 0.1274 μB per atom.

Verdict on stability: #Q comes out at the bottom.

#P
VASP calculation (PBE) on a relaxed PuTiNb crystal.

Unit cell a=6.5180 b=5.5316 c=5.2516 alpha=74.33 beta=54.80 gamma=50.87
Fractional coordinates of all 6 atoms:
Pu 0.1479 0.1479 0.8521
Pu 0.8521 0.8521 0.1479
Ti 0.2500 0.2500 0.2500
Ti 0.7500 0.7500 0.7500
Nb 0.3398 0.6602 0.3398
Nb 0.6602 0.3398 0.6602

Values from the calculation:
Its magnetic moment is 1.5074 μB per atom.

#Q
VASP calculation (PBE) on a relaxed PuTiNb crystal.

Unit cell a=4.7730 b=4.7730 c=2.9225 alpha=90.00 beta=90.00 gamma=120.00
Fractional coordinates of all 3 atoms:
Pu 0.0000 0.0000 0.0000
Ti 0.3333 0.6667 0.0000
Nb 0.6667 0.3333 0.5000

Values from the calculation:
Its magnetic moment is 1.5210 μB per atom.

Verdict on stability: #P comes out at the bottom.

#P
VASP calculation (PBE) on a relaxed TmPuNb crystal.

Unit cell a=3.5911 b=3.5911 c=11.0827 alpha=90.00 beta=90.00 gamma=90.00
Fractional coordinates of all 6 atoms:
Tm 0.0000 0.0000 0.0000
Tm 0.5000 0.5000 0.5000
Pu 0.0000 0.0000 0.7004
Pu 0.5000 0.5000 0.2004
Nb 0.0000 0.0000 0.3221
Nb 0.5000 0.5000 0.8221

Values from the calculation:
Its magnetic moment is 1.7593 μB per atom.

#Q
VASP calculation (PBE) on a relaxed TmPuNb crystal.

Unit cell a=13.4192 b=13.4192 c=13.4192 alpha=14.82 beta=14.82 gamma=14.82
Fractional coordinates of all 6 atoms:
Tm 0.1283 0.1283 0.1283
Tm 0.8717 0.8717 0.8717
Pu 0.3177 0.3177 0.3177
Pu 0.6823 0.6823 0.6823
Nb 0.4013 0.4013 0.4013
Nb 0.5987 0.5987 0.5987

Values from the calculation:
Its magnetic moment is 0.0000 μB per atom.

Verdict on stability: #Q comes out at the bottom.

#P
VASP calculation (PBE) on a relaxed PuNb2W crystal.

Unit cell a=3.1394 b=3.1394 c=27.3827 alpha=90.00 beta=90.00 gamma=120.00
Fractional coordinates of all 12 atoms:
Pu 0.0000 0.0000 0.0000
Pu 0.3333 0.6667 0.6667
Pu 0.6667 0.3333 0.3333
Nb 0.0000 0.0000 0.2415
Nb 0.0000 0.0000 0.7585
Nb 0.3333 0.6667 0.4252
Nb 0.3333 0.6667 0.9081
Nb 0.6667 0.3333 0.0919
Nb 0.6667 0.3333 0.5748
W 0.0000 0.0000 0.5000
W 0.3333 0.6667 0.1667
W 0.6667 0.3333 0.8333

Values from the calculation:
Its magnetic moment is 1.2740 μB per atom.

#Q
VASP calculation (PBE) on a relaxed PuNb2W crystal.

Unit cell a=3.2333 b=3.2333 c=7.2873 alpha=90.00 beta=90.00 gamma=90.00
Fractional coordinates of all 4 atoms:
Pu 0.0000 0.0000 0.0000
Nb 0.5000 0.5000 0.2789
Nb 0.5000 0.5000 0.7211
W 0.0000 0.0000 0.5000

Values from the calculation:
Its magnetic moment is 1.2557 μB per atom.

Verdict on stability: #P comes out at the bottom.